1.
A plane-wave DFT calculation with PBE was carried out for a geometry-optimized Ba2PuCd3Hg12 structure.

Unit cell a=13.3700 b=13.3700 c=13.3700 alpha=30.90 beta=30.90 gamma=30.90
Closest atoms and distances in Å follow each position.
Element x y z (fractional)
Cd1 0.0000 0.0000 0.5000  4 Hg 2.97
Cd2 0.0000 0.5000 0.0000  4 Hg 2.97
Cd3 0.5000 0.0000 0.0000  4 Hg 2.97
Hg1 0.1211 0.1211 0.5869  4 Hg 3.07-3.32, 1 Pu 3.09
Hg2 0.5869 0.1211 0.1211  4 Hg 3.07-3.32, 1 Pu 3.09
Hg3 0.5935 0.1563 0.5935  2 Cd 2.97, 4 Hg 3.07-3.11
Hg4 0.4065 0.4065 0.8437  2 Cd 2.97, 4 Hg 3.07-3.11
Hg5 0.5935 0.5935 0.1563  2 Cd 2.97, 4 Hg 3.07-3.11
Hg6 0.4065 0.8437 0.4065  2 Cd 2.97, 4 Hg 3.07-3.11
Hg7 0.8437 0.4065 0.4065  2 Cd 2.97, 4 Hg 3.07-3.11
Hg8 0.8789 0.4131 0.8789  4 Hg 3.07-3.32, 1 Pu 3.09
Hg9 0.1211 0.5869 0.1211  4 Hg 3.07-3.32, 1 Pu 3.09
Hg10 0.8789 0.8789 0.4131  4 Hg 3.07-3.32, 1 Pu 3.09
Hg11 0.4131 0.8789 0.8789  4 Hg 3.07-3.32, 1 Pu 3.09
Hg12 0.1563 0.5935 0.5935  2 Cd 2.97, 4 Hg 3.07-3.11
Ba1 0.6356 0.6356 0.6356  12 Hg 3.65-3.87
Ba2 0.3644 0.3644 0.3644  12 Hg 3.65-3.87
Pu1 0.0000 0.0000 0.0000  6 Hg 3.09

Properties
final energy	-1.48	eV per atom
D(E_F)	23.94	states/eV/cell
calculated formation energy	-0.112	eV/atom
magnetization	6.39	μB/f.u.

2.
A plane-wave DFT calculation with PBE was carried out for a geometry-optimized RbBa2CdHg structure.

Unit cell a=6.7074 b=6.8981 c=6.7074 alpha=90.00 beta=90.00 gamma=90.00
Closest atoms and distances in Å follow each position.
Element x y z (fractional)
Rb1 0.0000 0.5000 0.0000  2 Cd 3.45
Hg1 0.5000 0.5000 0.5000  4 Rb 4.74, 8 Ba 4.81
Ba1 0.5000 0.0000 0.0000  2 Cd 3.35
Ba2 0.0000 0.0000 0.5000  2 Cd 3.35
Cd1 0.0000 0.0000 0.0000  4 Ba 3.35, 2 Rb 3.45

Properties
final energy	-1.14	eV per atom
D(E_F)	3.50	states/eV/cell
calculated formation energy	0.065	eV/atom
magnetization	0.00	μB/f.u.

3.
A plane-wave DFT calculation with PBE was carried out for a geometry-optimized Ba6Cd2HgRh structure.

Unit cell a=8.1243 b=9.2704 c=12.1166 alpha=90.00 beta=87.05 gamma=90.00
Closest atoms and distances in Å follow each position.
Element x y z (fractional)
Ba1 0.8531 0.7987 0.9351  1 Rh 3.13, 1 Hg 3.48
Ba2 0.1469 0.2013 0.0649  1 Rh 3.13, 1 Hg 3.48
Ba3 0.1844 0.1641 0.4424  1 Rh 3.09
Ba4 0.6844 0.3359 0.9424  1 Rh 3.09
Ba5 0.8156 0.8359 0.5576  1 Rh 3.09
Ba6 0.6469 0.2987 0.5649  1 Rh 3.13, 1 Hg 3.48
Ba7 0.3531 0.7013 0.4351  1 Rh 3.13, 1 Hg 3.48
Ba8 0.6407 0.0398 0.2634  1 Rh 3.05
Ba9 0.3156 0.6641 0.0576  1 Rh 3.09
Ba10 0.1407 0.4602 0.7634  1 Rh 3.05
Ba11 0.8593 0.5398 0.2366  1 Rh 3.05
Ba12 0.3593 0.9602 0.7366  1 Rh 3.05
Cd1 0.0578 0.8873 0.2531  6 Ba 3.61-3.76
Cd2 0.9422 0.1127 0.7469  6 Ba 3.61-3.76
Cd3 0.4422 0.3873 0.2469  6 Ba 3.61-3.76
Cd4 0.5578 0.6127 0.7531  6 Ba 3.61-3.76
Hg1 0.5000 0.0000 0.0000  6 Ba 3.47-3.51
Hg2 0.0000 0.5000 0.5000  6 Ba 3.47-3.51
Rh1 0.5000 0.0000 0.5000  6 Ba 3.05-3.13
Rh2 0.0000 0.5000 0.0000  6 Ba 3.05-3.13

Properties
final energy	-2.36	eV per atom
D(E_F)	15.42	states/eV/cell
calculated formation energy	-0.261	eV/atom
magnetization	0.00	μB/f.u.

Among the records above, which one has the highest magnetization? Ba2PuCd3Hg12